## Pm2Y4S9 (PBE)

Data for a relaxed Pm2Y4S9 crystal.

Calculated values
**Uncorrected formation energy**: -47.28 kcal/mol of atoms
**Final energy**: -6.8838 eV/atom
**V**: 26.329 A^3/atom
**Crystal system**: trigonal

Cell: 6.9925 6.9925 18.6528 Å, 90.00 90.00 120.00°
Space group P-3c1 (No. 165)
Inequivalent atoms, fractional coordinates:
1 Pm 0.0000 0.0000 0.1467 x4
2 Y 0.3333 0.6667 0.1848 x4
3 Y 0.3333 0.6667 0.4842 x4
4 S 0.0000 0.3044 0.2500 x6
5 S 0.0307 0.3755 0.5837 x12